# SrHfVS2 | the Alexandria database | PBE | relaxed
data_SrHfVS2
_chemical_formula_sum 'Sr1 Hf1 V1 S2'
_symmetry_space_group_name_H-M 'P 4/m m m'
_symmetry_Int_Tables_number 123
_symmetry_space_group_name_Hall '-P 4 2'
_cell_length_a 5.2528
_cell_length_b 5.2528
_cell_length_c 5.0930
_cell_angle_alpha 90.00
_cell_angle_beta 90.00
_cell_angle_gamma 90.00
loop_
_atom_site_label
_atom_site_fract_x
_atom_site_fract_y
_atom_site_fract_z
_atom_site_occupancy
Sr1 0.0000 0.0000 0.0000 1
Hf1 0.5000 0.5000 0.5000 1
V1 0.0000 0.0000 0.5000 1
S1 0.0000 0.5000 0.0000 1
# E_form (uncorrected) = 1.13 eV per atom
# N(E_F) = 6.31 states/eV/f.u.
# Energy = -4.6762 eV/atom

# Sr2HfZnS5 | the Alexandria database | PBE | relaxed
data_Sr2HfZnS5
_chemical_formula_sum 'Sr8 Hf4 Zn4 S20'
_symmetry_space_group_name_H-M 'C m c 21'
_symmetry_Int_Tables_number 36
_symmetry_space_group_name_Hall 'C 2c -2'
_cell_length_a 3.8872
_cell_length_b 17.3467
_cell_length_c 12.3409
_cell_angle_alpha 90.00
_cell_angle_beta 90.00
_cell_angle_gamma 90.00
loop_
_atom_site_label
_atom_site_fract_x
_atom_site_fract_y
_atom_site_fract_z
_atom_site_occupancy
Sr1 0.0000 0.1078 0.0000 1
Sr2 0.0000 0.1252 0.6308 1
Hf1 0.0000 0.2112 0.3374 1
Zn1 0.0000 0.4429 0.7642 1
S1 0.0000 0.0624 0.3694 1
S2 0.0000 0.2838 0.9768 1
S3 0.0000 0.3027 0.6972 1
S4 0.0000 0.3539 0.3218 1
S5 0.0000 0.4994 0.5988 1
# E_form (uncorrected) = -1.64 eV per atom
# Energy = -5.5591 eV/atom

# SrHfZn2S | the Alexandria database | PBE | relaxed
data_SrHfZn2S
_chemical_formula_sum 'Sr1 Hf1 Zn2 S1'
_symmetry_space_group_name_H-M 'P 4/m m m'
_symmetry_Int_Tables_number 123
_symmetry_space_group_name_Hall '-P 4 2'
_cell_length_a 5.4902
_cell_length_b 5.4902
_cell_length_c 5.2448
_cell_angle_alpha 90.00
_cell_angle_beta 90.00
_cell_angle_gamma 90.00
loop_
_atom_site_label
_atom_site_fract_x
_atom_site_fract_y
_atom_site_fract_z
_atom_site_occupancy
Sr1 0.0000 0.0000 0.0000 1
Hf1 0.5000 0.5000 0.5000 1
Zn1 0.0000 0.5000 0.0000 1
S1 0.0000 0.0000 0.5000 1
# E_form (uncorrected) = 0.95 eV per atom
# N(E_F) = 4.87 states/eV/f.u.
# Energy = -2.7079 eV/atom

# Hf2Ta2S7 | the Alexandria database | PBE | relaxed
data_Hf2Ta2S7
_chemical_formula_sum 'Hf4 Ta4 S14'
_symmetry_space_group_name_H-M 'C 1 2/m 1'
_symmetry_Int_Tables_number 12
_symmetry_space_group_name_Hall '-C 2y'
_cell_length_a 7.3995
_cell_length_b 10.3594
_cell_length_c 6.9539
_cell_angle_alpha 90.00
_cell_angle_beta 93.90
_cell_angle_gamma 90.00
loop_
_atom_site_label
_atom_site_fract_x
_atom_site_fract_y
_atom_site_fract_z
_atom_site_occupancy
Hf1 0.2135 0.0000 0.1258 1
Ta1 0.0000 0.1396 0.5000 1
S1 0.0000 0.5000 0.0000 1
S2 0.1143 0.0000 0.7630 1
S3 0.2388 0.3036 0.6908 1
# E_form (uncorrected) = -1.01 eV per atom
# N(E_F) = 3.59 states/eV/f.u.
# Energy = -7.5981 eV/atom